[1]
NdMnPd4: optimized geometry, PBE-GGA.

a = 5.3788 Å, b = 5.3788 Å, c = 5.3788 Å
α = 60.00°, β = 60.00°, γ = 60.00°
Fractional coordinates of all 6 atoms:
Nd  0.0000  0.0000  0.0000
Mn  0.7500  0.7500  0.7500
Pd  0.3757  0.3757  0.3757
Pd  0.3757  0.3757  0.8729
Pd  0.3757  0.8729  0.3757
Pd  0.8729  0.3757  0.3757

D(E_F), states/eV per atom: 0.623
Calculated density, g/cm3: 9.43
Space group: F-43m, No. 216
Volume, Å³/cell: 110
DFT total energy, eV/atom: -6.2222

***

[2]
Ba2Li3InSn4: optimized geometry, PBE-GGA.

a = 4.6928 Å, b = 4.6928 Å, c = 12.5531 Å
α = 90.00°, β = 90.00°, γ = 90.00°
Fractional coordinates of all 10 atoms:
Ba  0.0000  0.5000  0.2457
Ba  0.5000  0.0000  0.7543
Li  0.0000  0.5000  0.8660
Li  0.5000  0.0000  0.1340
Li  0.5000  0.5000  0.5000
In  0.0000  0.0000  0.5000
Sn  0.0000  0.0000  0.0000
Sn  0.0000  0.5000  0.6421
Sn  0.5000  0.0000  0.3579
Sn  0.5000  0.5000  0.0000

D(E_F), states/eV per atom: 0.580
Calculated density, g/cm3: 5.32
Space group: P-4m2, No. 115
Volume, Å³/cell: 276
DFT total energy, eV/atom: -3.3393

***

[3]
PmSn3Ru3: optimized geometry, PBE-GGA.

a = 7.1591 Å, b = 7.1591 Å, c = 7.1591 Å
α = 90.00°, β = 90.00°, γ = 90.00°
Fractional coordinates of all 14 atoms:
Pm  0.0000  0.0000  0.0000
Pm  0.5000  0.5000  0.5000
Sn  0.0000  0.2500  0.5000
Sn  0.0000  0.7500  0.5000
Sn  0.2500  0.5000  0.0000
Sn  0.5000  0.0000  0.2500
Sn  0.5000  0.0000  0.7500
Sn  0.7500  0.5000  0.0000
Ru  0.0000  0.5000  0.2500
Ru  0.0000  0.5000  0.7500
Ru  0.2500  0.0000  0.5000
Ru  0.5000  0.2500  0.0000
Ru  0.5000  0.7500  0.0000
Ru  0.7500  0.0000  0.5000

D(E_F), states/eV per atom: 0.482
Calculated density, g/cm3: 7.28
Space group: Pm-3n, No. 223
Volume, Å³/cell: 367
DFT total energy, eV/atom: -5.9187

***

[4]
CsPmSb2: optimized geometry, PBE-GGA.

a = 4.2705 Å, b = 4.2705 Å, c = 8.1112 Å
α = 90.00°, β = 90.00°, γ = 90.00°
Fractional coordinates of all 4 atoms:
Cs  0.0000  0.0000  0.0000
Pm  0.0000  0.0000  0.5000
Sb  0.5000  0.5000  0.3223
Sb  0.5000  0.5000  0.6777

D(E_F), states/eV per atom: 0.395
Energy relative to the elements, uncorrected, eV/atom: -0.688
Calculated density, g/cm3: 5.85
Space group: P4/mmm, No. 123
Volume, Å³/cell: 148